{"formula": "NbTlCo", "functional": "GGA-PBE", "state": "optimized geometry", "magmom_total_mub_per_fu": 0.9, "vol_a3_per_atom": 18.53, "e_tot_ev_per_atom": -6.179, "lattice_angstrom": [[0.000, 3.029, 3.029], [3.029, 0.000, 3.029], [3.029, 3.029, 0.000]], "species": ["Nb", "Tl", "Co"], "fractional_positions": [[0.250, 0.250, 0.250], [0.750, 0.750, 0.750], [0.000, 0.000, 0.000]]}